Record 1
DyY2Al7Cu2: optimized geometry, PBE-GGA.

Lattice parameters (Å, degrees): 9.0486 9.0486 9.0486 35.29 35.29 35.29
Fractional coordinates of all 12 atoms:
Y  0.8582  0.8582  0.8582
Y  0.1418  0.1418  0.1418
Al  0.4183  0.4183  0.9275
Al  0.5000  0.5000  0.5000
Al  0.9275  0.4183  0.4183
Al  0.5817  0.5817  0.0725
Al  0.4183  0.9275  0.4183
Al  0.0725  0.5817  0.5817
Al  0.5817  0.0725  0.5817
Cu  0.6648  0.6648  0.6648
Cu  0.3352  0.3352  0.3352
Dy  0.0000  0.0000  0.0000

Summary:
- Total DFT energy (no corrections): -57.111 eV/cell
- Space group: No. 166



Record 2
RbTcW: optimized geometry, PBE-GGA.

Lattice parameters (Å, degrees): 4.5716 4.5716 4.5716 60.00 60.00 60.00
Fractional coordinates of all 3 atoms:
Tc  0.0000  0.0000  0.0000
Rb  0.7500  0.7500  0.7500
W  0.2500  0.2500  0.2500

Summary:
- Energy relative to the lowest polymorph listed for this composition: 0 meV per atom
- Space group: No. 216



Record 3
TcO3: optimized geometry, PBE-GGA.

Lattice parameters (Å, degrees): 5.0762 5.0762 4.7501 99.51 99.50 122.07
Fractional coordinates of all 8 atoms:
O  0.8012  0.7611  0.7292
O  0.3657  0.0725  0.7707
O  0.2389  0.1988  0.2708
O  0.0834  0.4165  0.7500
O  0.5835  0.9166  0.2500
O  0.9275  0.6343  0.2293
Tc  0.9709  0.0291  0.5000
Tc  0.1958  0.8042  0.0000

Summary:
- Energy relative to the lowest polymorph listed for this composition: 0 meV per atom
- Space group: No. 15



Record 4
YCo2Br2: optimized geometry, PBE-GGA.

Lattice parameters (Å, degrees): 3.9075 3.9075 17.2835 90.00 90.00 120.00
Fractional coordinates of all 10 atoms:
Co  0.6667  0.3333  0.6059
Co  0.3333  0.6667  0.1059
Co  0.6667  0.3333  0.8941
Co  0.3333  0.6667  0.3941
Y  0.0000  0.0000  0.0000
Y  0.0000  0.0000  0.5000
Br  0.6667  0.3333  0.3681
Br  0.6667  0.3333  0.1319
Br  0.3333  0.6667  0.8681
Br  0.3333  0.6667  0.6319

Summary:
- Total DFT energy (no corrections): -48.556 eV/cell
- Space group: No. 194



Record 5
HfZnSb: optimized geometry, PBE-GGA.

Lattice parameters (Å, degrees): 4.7025 4.7025 4.7025 60.00 60.00 60.00
Fractional coordinates of all 3 atoms:
Zn  0.5000  0.5000  0.5000
Hf  0.0000  0.0000  0.0000
Sb  0.2500  0.2500  0.2500

Summary:
- Total DFT energy (no corrections): -14.253 eV/cell
- Space group: No. 216



Record 6
Pr2NdGe4Pd2Pt2: optimized geometry, PBE-GGA.

Lattice parameters (Å, degrees): 13.0725 13.0725 13.0725 161.75 160.70 26.68
Fractional coordinates of all 11 atoms:
Pt  0.2496  0.2496  0.0000
Pt  0.7504  0.7504  0.0000
Nd  0.0000  0.0000  0.0000
Ge  0.5492  0.5492  0.0000
Ge  0.1939  0.6939  0.5000
Ge  0.4508  0.4508  0.0000
Ge  0.8061  0.3061  0.5000
Pr  0.3524  0.8524  0.5000
Pr  0.6476  0.1476  0.5000
Pd  0.9040  0.4040  0.5000
Pd  0.0960  0.5960  0.5000

Summary:
- Total DFT energy (no corrections): -65.277 eV/cell
- Space group: No. 71



Record 7
Zr2Tl5F13: optimized geometry, PBE-GGA.

Lattice parameters (Å, degrees): 6.7901 6.7901 8.6812 94.03 94.03 55.85
Fractional coordinates of all 20 atoms:
F  0.3326  0.9469  0.9166
F  0.9883  0.3852  0.6296
F  0.1727  0.7382  0.7527
F  0.9469  0.3326  0.9166
F  0.6148  0.0117  0.3704
F  0.6674  0.0531  0.0834
F  0.8273  0.2618  0.2473
F  0.0531  0.6674  0.0834
F  0.3852  0.9883  0.6296
F  0.0000  0.0000  0.5000
F  0.2618  0.8273  0.2473
F  0.7382  0.1727  0.7527
F  0.0117  0.6148  0.3704
Zr  0.0813  0.0813  0.7362
Zr  0.9187  0.9187  0.2638
Tl  0.6278  0.6278  0.4419
Tl  0.2247  0.2247  0.1709
Tl  0.3722  0.3722  0.5581
Tl  0.7753  0.7753  0.8291
Tl  0.5000  0.5000  0.0000

Summary:
- Total DFT energy (no corrections): -107.598 eV/cell
- Space group: No. 12



Record 8
SrNdPO: optimized geometry, PBE-GGA.

Lattice parameters (Å, degrees): 4.2441 6.8755 6.9291 90.00 90.00 90.00
Fractional coordinates of all 8 atoms:
O  0.0000  0.2725  0.3734
O  0.0000  0.7274  0.8734
Sr  0.5000  0.8752  0.9396
Sr  0.5000  0.1248  0.4396
P  0.5000  0.6896  0.3435
P  0.5000  0.3104  0.8435
Nd  0.0000  0.5392  0.5974
Nd  0.0000  0.4608  0.0974

Summary:
- Energy relative to the lowest polymorph listed for this composition: 0 meV per atom
- Space group: No. 26



Number 1: volume 220.9 Å³ per cell, total magnetization 0.0 μB/f.u.. Number 2: volume 67.6 Å³ per cell, total magnetization 0.0 μB/f.u.. Number 3: volume 97.5 Å³ per cell, total magnetization 0.0 μB/f.u.. Number 4: volume 228.5 Å³ per cell, total magnetization 0.0 μB/f.u.. Number 5: volume 73.5 Å³ per cell, total magnetization 0.4 μB/f.u.. Number 6: volume 231.1 Å³ per cell, total magnetization 0.0 μB/f.u.. Number 7: volume 330.2 Å³ per cell, total magnetization 0.0 μB/f.u.. Number 8: volume 202.2 Å³ per cell, total magnetization 0.0 μB/f.u..